(1)
# Pr2Re2Si2C PBE optimized geometry
# Energy relative to the elements, uncorrected: -0.543 eV/atom
# N(E_F): 3.69 states/eV/f.u.
data_Pr2Re2Si2C
_space_group_name_H-M_alt 'C 1 2/m 1'
_space_group_IT_number 12
_cell_length_a 11.222
_cell_length_b 4.083
_cell_length_c 7.239
_cell_angle_alpha 90.00
_cell_angle_beta 127.95
_cell_angle_gamma 90.00
loop_
_space_group_symop_operation_xyz
'x,y,z'
'-x,-y,-z'
'-x,y,-z'
'x,-y,z'
'x+1/2,y+1/2,z'
'-x+1/2,-y+1/2,-z'
'-x+1/2,y+1/2,-z'
'x+1/2,-y+1/2,z'
loop_
_atom_site_label
_atom_site_type_symbol
_atom_site_fract_x
_atom_site_fract_y
_atom_site_fract_z
Pr1 Pr 0.072 0.000 0.304
Re1 Re 0.203 0.500 0.087
Si1 Si 0.150 0.500 0.701
C1 C 0.000 0.500 0.000

(2)
# HgAu2Cl PBE optimized geometry
# Energy relative to the elements, uncorrected: -0.034 eV/atom
# N(E_F): 1.37 states/eV/f.u.
# Relative energy among the computed polymorphs: 0.0000 eV per atom
data_HgAu2Cl
_space_group_name_H-M_alt 'P 1 m 1'
_space_group_IT_number 6
_cell_length_a 4.216
_cell_length_b 3.647
_cell_length_c 6.827
_cell_angle_alpha 90.00
_cell_angle_beta 90.28
_cell_angle_gamma 90.00
loop_
_space_group_symop_operation_xyz
'x,y,z'
'x,-y,z'
loop_
_atom_site_label
_atom_site_type_symbol
_atom_site_fract_x
_atom_site_fract_y
_atom_site_fract_z
Hg1 Hg 0.000 0.000 0.000
Au1 Au 0.498 0.000 0.710
Au2 Au 0.997 0.500 0.677
Cl1 Cl 0.999 0.500 0.287